Record 1
Density functional theory data (GGA-PBE) for Zn6AgIr2 after structural relaxation.

abc: 2.790 7.355 7.354
angles: 120.00 90.04 90.00
Sites, in units of the cell vectors:
Zn 0.484 0.000 0.661
Zn 0.516 0.339 0.339
Zn 0.516 0.000 0.339
Zn 0.500 0.339 0.000
Zn 0.484 0.661 0.661
Zn 0.500 0.661 0.000
Ag 0.000 0.000 0.000
Ir 0.000 0.333 0.667
Ir 0.000 0.667 0.333

Properties
- Formation enthalpy at 0 K: -2.18 kcal/mol of atoms
- Electronic total energy: -29.067 eV for the cell shown

---

Record 2
Density functional theory data (GGA-PBE) for Zn5AgIr after structural relaxation.

abc: 4.766 4.766 10.144
angles: 78.37 78.37 101.03
Sites, in units of the cell vectors:
Zn 0.447 0.969 0.136
Zn 0.479 0.777 0.451
Zn 0.969 0.447 0.636
Zn 0.939 0.061 0.250
Zn 0.223 0.521 0.049
Zn 0.777 0.479 0.951
Zn 0.061 0.939 0.750
Zn 0.031 0.553 0.364
Zn 0.521 0.223 0.549
Zn 0.553 0.031 0.864
Ag 0.559 0.441 0.250
Ag 0.441 0.559 0.750
Ir 0.000 0.000 0.000
Ir 0.000 0.000 0.500

Properties
- Formation enthalpy at 0 K: -0.67 kcal/mol of atoms
- Electronic total energy: -36.568 eV for the cell shown

---

Record 3
Density functional theory data (GGA-PBE) for Zn3AgIr after structural relaxation.

abc: 4.712 5.620 7.082
angles: 113.38 90.00 90.00
Sites, in units of the cell vectors:
Zn 0.750 0.929 0.334
Zn 0.750 0.405 0.334
Zn 0.250 0.595 0.666
Zn 0.250 0.071 0.666
Zn 0.000 0.000 0.000
Zn 0.500 0.000 0.000
Ag 0.750 0.358 0.716
Ag 0.250 0.642 0.284
Ir 0.750 0.830 0.659
Ir 0.250 0.170 0.341

Properties
- Formation enthalpy at 0 K: -0.11 kcal/mol of atoms
- Electronic total energy: -31.115 eV for the cell shown
- Distance to the lowest polymorph of the same formula: 0.000 eV/atom

---

Record 4
Density functional theory data (GGA-PBE) for ZnAgIr after structural relaxation.

abc: 6.054 6.054 6.054
angles: 152.83 152.83 38.81
Sites, in units of the cell vectors:
Ag 0.003 0.003 0.000
Ir 0.322 0.322 0.000
Zn 0.675 0.675 0.000

Properties
- Formation enthalpy at 0 K: 2.51 kcal/mol of atoms
- Electronic total energy: -12.660 eV for the cell shown
- Distance to the lowest polymorph of the same formula: 0.057 eV/atom

---

Record 5
Density functional theory data (GGA-PBE) for Zn6AgIr after structural relaxation.

abc: 5.264 5.264 5.264
angles: 90.52 90.52 90.52
Sites, in units of the cell vectors:
Zn 0.167 0.542 0.167
Zn 0.167 0.167 0.542
Zn 0.833 0.458 0.833
Zn 0.458 0.833 0.833
Zn 0.833 0.833 0.458
Zn 0.542 0.167 0.167
Ag 0.000 0.000 0.000
Ir 0.500 0.500 0.500

Properties
- Formation enthalpy at 0 K: 4.55 kcal/mol of atoms
- Electronic total energy: -17.776 eV for the cell shown
- Distance to the lowest polymorph of the same formula: 0.299 eV/atom

---

Record 6
Density functional theory data (GGA-PBE) for ZnAgIr after structural relaxation.

abc: 4.187 4.187 4.187
angles: 60.00 60.00 60.00
Sites, in units of the cell vectors:
Ag 0.000 0.000 0.000
Ir 0.500 0.500 0.500
Zn 0.750 0.750 0.750

Properties
- Formation enthalpy at 0 K: 9.96 kcal/mol of atoms
- Electronic total energy: -11.690 eV for the cell shown
- Distance to the lowest polymorph of the same formula: 0.381 eV/atom